(a)
VASP calculation (PBE-GGA) on an optimized crystal structure of Gd2PuIn.

Computed properties:
Density (g cm⁻³): 9.6
D(E_F) (states/eV/cell): 6.68

Cell lengths 3.655, 3.655, 8.754 Å; angles 90.00, 90.00, 90.00 degrees
Element x y z (fractional)
Gd 0.000 0.000 0.231
Gd 0.000 0.000 0.769
Pu 0.500 0.500 0.500
In 0.500 0.500 0.000

***

(b)
VASP calculation (PBE-GGA) on an optimized crystal structure of Gd2PuIn.

Computed properties:
Density (g cm⁻³): 10.0
D(E_F) (states/eV/cell): 12.99

Cell lengths 4.892, 4.892, 4.656 Å; angles 90.00, 90.00, 90.00 degrees
Element x y z (fractional)
Gd 0.000 0.500 0.000
Gd 0.500 0.000 0.000
Pu 0.000 0.000 0.500
In 0.500 0.500 0.500

***

(a) is the most stable structure; the next one sits 0.018 eV/atom above it.